Compound: Pr5HoErTm2
Source: Alexandria via LeMat-Bulk
Functional: PBE
Structure: optimized geometry

## Properties
Energy of formation, eV/atom: 0.14
D(E_F), states/eV per cell: 28.50
Electronic total energy, eV per atom: -4.522

```
Pr5HoErTm2
1.0
2.8154 -10.2772 0.0000
2.8154 10.2772 0.0000
0.0000 0.0000 10.7415
Pr Ho Er Tm
10 2 2 4
Cartesian
2.8154 10.0026 5.3708
2.8154 7.8228 8.3149
2.8154 6.1063 4.9817
2.8154 5.7250 0.7574
2.8154 0.2989 8.2614
2.8154 -0.2989 2.8906
2.8154 -5.7250 6.1281
2.8154 -6.1063 10.3525
2.8154 -7.8228 2.9441
2.8154 -10.0026 0.0000
2.8154 4.0624 8.2451
2.8154 -4.0624 2.8743
2.8154 8.3448 2.3917
2.8154 -8.3448 7.7624
2.8154 2.3159 0.6041
2.8154 2.3263 5.3403
2.8154 -2.3159 5.9749
2.8154 -2.3263 10.7110
```